No. 1
This record from Alexandria via LeMat-Bulk describes a geometry-optimized SrRhF structure. The functional is PBE-GGA.

Lattice parameters (Å, degrees): 4.4911 4.4911 4.4911 60.00 60.00 60.00
Closest atoms and distances in Å follow each position.
Element x y z (fractional)
Sr: 0.7500 0.7500 0.7500  4 Rh 2.75
Rh: 0.5000 0.5000 0.5000  4 Sr 2.75, 4 F 2.75
F: 0.2500 0.2500 0.2500  4 Rh 2.75

---

No. 2
This record from Alexandria via LeMat-Bulk describes a geometry-optimized SrTlRh2F structure. The functional is PBE-GGA.

Lattice parameters (Å, degrees): 4.9583 6.6008 4.9583 90.00 90.00 90.00
Closest atoms and distances in Å follow each position.
Element x y z (fractional)
Sr: 0.0000 0.5000 0.0000  2 Tl 3.30, 4 F 3.51
Tl: 0.0000 0.0000 0.0000  4 Rh 2.48
Rh: 0.0000 0.0000 0.5000  2 Tl 2.48
Rh: 0.5000 0.0000 0.0000  2 Tl 2.48
F: 0.5000 0.5000 0.5000  4 Sr 3.51

---

No. 3
This record from Alexandria via LeMat-Bulk describes a geometry-optimized SrTl2Rh3F12 structure. The functional is PBE-GGA.

Lattice parameters (Å, degrees): 7.3065 7.3065 7.3065 63.96 63.96 63.96
Closest atoms and distances in Å follow each position.
Element x y z (fractional)
Sr: 0.0000 0.0000 0.0000  6 F 2.60
Tl: 0.6207 0.6207 0.6207  3 F 2.63
Tl: 0.3793 0.3793 0.3793  3 F 2.63
Rh: 0.5000 0.0000 0.0000  6 F 2.02-2.07
Rh: 0.0000 0.5000 0.0000  6 F 2.02-2.07
Rh: 0.0000 0.0000 0.5000  6 F 2.02-2.07
F: 0.2686 0.2686 0.8881  2 Rh 2.07
F: 0.8686 0.8686 0.4152  1 Rh 2.02
F: 0.4152 0.8686 0.8686  1 Rh 2.02
F: 0.8881 0.2686 0.2686  2 Rh 2.07
F: 0.8686 0.4152 0.8686  1 Rh 2.02
F: 0.2686 0.8881 0.2686  2 Rh 2.07
F: 0.7314 0.7314 0.1119  2 Rh 2.07
F: 0.1314 0.1314 0.5848  1 Rh 2.02
F: 0.5848 0.1314 0.1314  1 Rh 2.02
F: 0.1119 0.7314 0.7314  2 Rh 2.07
F: 0.1314 0.5848 0.1314  1 Rh 2.02
F: 0.7314 0.1119 0.7314  2 Rh 2.07

---

No. 4
This record from Alexandria via LeMat-Bulk describes a geometry-optimized SrZnRh2F structure. The functional is PBE-GGA.

Lattice parameters (Å, degrees): 4.6605 4.8903 4.6605 90.00 90.00 90.00
Closest atoms and distances in Å follow each position.
Element x y z (fractional)
Sr: 0.5000 0.5000 0.5000  4 F 3.30, 8 Rh 3.38
Zn: 0.0000 0.0000 0.0000  4 Rh 2.33, 2 F 2.45
Rh: 0.0000 0.0000 0.5000  2 Zn 2.33
Rh: 0.5000 0.0000 0.0000  2 Zn 2.33
F: 0.0000 0.5000 0.0000  2 Zn 2.45

---

No. 5
This record from Alexandria via LeMat-Bulk describes a geometry-optimized TaRhF2 structure. The functional is PBE-GGA.

Lattice parameters (Å, degrees): 3.7434 3.7434 8.1133 76.66 76.66 90.00
Closest atoms and distances in Å follow each position.
Element x y z (fractional)
F: 0.6907 0.1250 0.2500  2 Ta 2.24, 2 F 2.33, 2 Rh 2.44
F: 0.0593 0.6250 0.2500  2 Ta 2.24, 2 F 2.33, 2 Rh 2.44
F: 0.3750 0.3093 0.7500  2 Ta 2.24, 2 F 2.33, 2 Rh 2.44
F: 0.8750 0.9407 0.7500  2 Ta 2.24, 2 F 2.33, 2 Rh 2.44
Rh: 0.5000 0.5000 0.0000  4 F 2.44, 4 Ta 2.65
Rh: 0.2500 0.7500 0.5000  4 F 2.44, 4 Ta 2.65
Ta: 0.0000 0.0000 0.0000  4 F 2.24
Ta: 0.7500 0.2500 0.5000  4 F 2.24

---

No. 6
This record from Alexandria via LeMat-Bulk describes a geometry-optimized TaRh2F2 structure. The functional is PBE-GGA.

Lattice parameters (Å, degrees): 3.3155 3.3155 6.4819 75.18 75.18 90.00
Closest atoms and distances in Å follow each position.
Element x y z (fractional)
F: 0.7500 0.2500 0.5000  4 Rh 2.34, 4 F 2.34
F: 0.2500 0.7500 0.5000  4 Rh 2.34, 4 F 2.34
Rh: 0.3865 0.3865 0.2270  4 F 2.34
Rh: 0.6135 0.6135 0.7730  4 F 2.34
Ta: 0.0000 0.0000 0.0000  8 Rh 2.72

---

no.,ΔE_f (raw) (meV/atom)
1,-475
2,375
3,-1950
4,-177
5,-1003
6,-737